[1]
# CePuRuPt | Alexandria | PBE-GGA | optimized geometry
# Space-group type = No. 216
# Magnetic moment = 5.3 μB/cell
# Uncorrected energy = -37.6 eV/f.u.
data_CePuRuPt
_chemical_formula_sum 'Ce1 Pu1 Ru1 Pt1'
_cell_length_a 4.9144
_cell_length_b 4.9144
_cell_length_c 4.9144
_cell_angle_alpha 60.00
_cell_angle_beta 60.00
_cell_angle_gamma 60.00
_symmetry_space_group_name_H-M 'P 1'
_symmetry_Int_Tables_number 1
_symmetry_space_group_name_Hall 'P 1'
loop_
_atom_site_label
_atom_site_type_symbol
_atom_site_fract_x
_atom_site_fract_y
_atom_site_fract_z
Ce1 Ce 0.0000 0.0000 0.0000
Pu1 Pu 0.5000 0.5000 0.5000
Ru1 Ru 0.7500 0.7500 0.7500
Pt1 Pt 0.2500 0.2500 0.2500

=====

[2]
# CePu2Sb2Pt2 | Alexandria | PBE-GGA | optimized geometry
# Raw formation energy = -0.766 eV per atom
# Space-group type = No. 166
# Magnetic moment = 11.9 μB/cell
data_CePu2Sb2Pt2
_chemical_formula_sum 'Ce1 Pu2 Sb2 Pt2'
_cell_length_a 9.2110
_cell_length_b 9.2110
_cell_length_c 9.2110
_cell_angle_alpha 29.42
_cell_angle_beta 29.42
_cell_angle_gamma 29.42
_symmetry_space_group_name_H-M 'P 1'
_symmetry_Int_Tables_number 1
_symmetry_space_group_name_Hall 'P 1'
loop_
_atom_site_label
_atom_site_type_symbol
_atom_site_fract_x
_atom_site_fract_y
_atom_site_fract_z
Ce1 Ce 0.0000 0.0000 0.0000
Pu1 Pu 0.1421 0.1421 0.1421
Pu2 Pu 0.8579 0.8579 0.8579
Sb1 Sb 0.2657 0.2657 0.2657
Sb2 Sb 0.7343 0.7343 0.7343
Pt1 Pt 0.4362 0.4362 0.4362
Pt2 Pt 0.5638 0.5638 0.5638

=====

[3]
# Ce2PuSi4Pt3 | Alexandria | PBE-GGA | optimized geometry
# Raw formation energy = -0.864 eV per atom
# Space-group type = No. 115
# Magnetic moment = 5.9 μB/cell
data_Ce2PuSi4Pt3
_chemical_formula_sum 'Ce2 Pu1 Si4 Pt3'
_cell_length_a 4.2872
_cell_length_b 4.2872
_cell_length_c 10.5885
_cell_angle_alpha 90.00
_cell_angle_beta 90.00
_cell_angle_gamma 90.00
_symmetry_space_group_name_H-M 'P 1'
_symmetry_Int_Tables_number 1
_symmetry_space_group_name_Hall 'P 1'
loop_
_atom_site_label
_atom_site_type_symbol
_atom_site_fract_x
_atom_site_fract_y
_atom_site_fract_z
Ce1 Ce 0.0000 0.5000 0.2405
Ce2 Ce 0.5000 0.0000 0.7595
Pu1 Pu 0.0000 0.0000 0.5000
Si1 Si 0.0000 0.0000 0.0000
Si2 Si 0.0000 0.5000 0.6665
Si3 Si 0.5000 0.0000 0.3335
Si4 Si 0.5000 0.5000 0.0000
Pt1 Pt 0.0000 0.5000 0.8915
Pt2 Pt 0.5000 0.0000 0.1085
Pt3 Pt 0.5000 0.5000 0.5000

=====

[4]
# Ce2PuSi3Pt4 | Alexandria | PBE-GGA | optimized geometry
# Raw formation energy = -0.938 eV per atom
# Space-group type = No. 115
# Magnetic moment = 6.7 μB/cell
data_Ce2PuSi3Pt4
_chemical_formula_sum 'Ce2 Pu1 Si3 Pt4'
_cell_length_a 4.2673
_cell_length_b 4.2673
_cell_length_c 10.8058
_cell_angle_alpha 90.00
_cell_angle_beta 90.00
_cell_angle_gamma 90.00
_symmetry_space_group_name_H-M 'P 1'
_symmetry_Int_Tables_number 1
_symmetry_space_group_name_Hall 'P 1'
loop_
_atom_site_label
_atom_site_type_symbol
_atom_site_fract_x
_atom_site_fract_y
_atom_site_fract_z
Ce1 Ce 0.0000 0.5000 0.2358
Ce2 Ce 0.5000 0.0000 0.7642
Pu1 Pu 0.0000 0.0000 0.5000
Si1 Si 0.0000 0.5000 0.8841
Si2 Si 0.5000 0.0000 0.1159
Si3 Si 0.5000 0.5000 0.5000
Pt1 Pt 0.0000 0.0000 0.0000
Pt2 Pt 0.0000 0.5000 0.6646
Pt3 Pt 0.5000 0.0000 0.3354
Pt4 Pt 0.5000 0.5000 0.0000

=====

[5]
# CePuTcPt | Alexandria | PBE-GGA | optimized geometry
# Space-group type = No. 216
# Magnetic moment = 4.7 μB/cell
# Uncorrected energy = -38.1 eV/f.u.
data_CePuTcPt
_chemical_formula_sum 'Ce1 Pu1 Tc1 Pt1'
_cell_length_a 4.9065
_cell_length_b 4.9065
_cell_length_c 4.9065
_cell_angle_alpha 60.00
_cell_angle_beta 60.00
_cell_angle_gamma 60.00
_symmetry_space_group_name_H-M 'P 1'
_symmetry_Int_Tables_number 1
_symmetry_space_group_name_Hall 'P 1'
loop_
_atom_site_label
_atom_site_type_symbol
_atom_site_fract_x
_atom_site_fract_y
_atom_site_fract_z
Ce1 Ce 0.0000 0.0000 0.0000
Pu1 Pu 0.5000 0.5000 0.5000
Tc1 Tc 0.7500 0.7500 0.7500
Pt1 Pt 0.2500 0.2500 0.2500

=====

[6]
# CePu2TlPt2 | Alexandria | PBE-GGA | optimized geometry
# Space-group type = No. 164
# Magnetic moment = 11.8 μB/cell
# Uncorrected energy = -52.5 eV/f.u.
data_CePu2TlPt2
_chemical_formula_sum 'Ce1 Pu2 Tl1 Pt2'
_cell_length_a 5.0038
_cell_length_b 5.0038
_cell_length_c 6.3692
_cell_angle_alpha 90.00
_cell_angle_beta 90.00
_cell_angle_gamma 120.00
_symmetry_space_group_name_H-M 'P 1'
_symmetry_Int_Tables_number 1
_symmetry_space_group_name_Hall 'P 1'
loop_
_atom_site_label
_atom_site_type_symbol
_atom_site_fract_x
_atom_site_fract_y
_atom_site_fract_z
Ce1 Ce 0.0000 0.0000 0.0000
Pu1 Pu 0.3333 0.6667 0.7666
Pu2 Pu 0.6667 0.3333 0.2334
Tl1 Tl 0.0000 0.0000 0.5000
Pt1 Pt 0.3333 0.6667 0.2526
Pt2 Pt 0.6667 0.3333 0.7474

=====

[7]
# CePuTlPt | Alexandria | PBE-GGA | optimized geometry
# Space-group type = No. 99
# Magnetic moment = 6.8 μB/cell
# Uncorrected energy = -30.7 eV/f.u.
data_CePuTlPt
_chemical_formula_sum 'Ce1 Pu1 Tl1 Pt1'
_cell_length_a 3.4591
_cell_length_b 3.4591
_cell_length_c 8.4769
_cell_angle_alpha 90.00
_cell_angle_beta 90.00
_cell_angle_gamma 90.00
_symmetry_space_group_name_H-M 'P 1'
_symmetry_Int_Tables_number 1
_symmetry_space_group_name_Hall 'P 1'
loop_
_atom_site_label
_atom_site_type_symbol
_atom_site_fract_x
_atom_site_fract_y
_atom_site_fract_z
Ce1 Ce 0.0000 0.0000 0.0000
Pu1 Pu 0.0000 0.0000 0.5782
Tl1 Tl 0.5000 0.5000 0.2927
Pt1 Pt 0.5000 0.5000 0.7930

=====

[8]
# CePuTlPt | Alexandria | PBE-GGA | optimized geometry
# Space-group type = No. 216
# Magnetic moment = 7.0 μB/cell
# Uncorrected energy = -30.3 eV/f.u.
data_CePuTlPt
_chemical_formula_sum 'Ce1 Pu1 Tl1 Pt1'
_cell_length_a 5.0546
_cell_length_b 5.0546
_cell_length_c 5.0546
_cell_angle_alpha 60.00
_cell_angle_beta 60.00
_cell_angle_gamma 60.00
_symmetry_space_group_name_H-M 'P 1'
_symmetry_Int_Tables_number 1
_symmetry_space_group_name_Hall 'P 1'
loop_
_atom_site_label
_atom_site_type_symbol
_atom_site_fract_x
_atom_site_fract_y
_atom_site_fract_z
Ce1 Ce 0.0000 0.0000 0.0000
Pu1 Pu 0.7500 0.7500 0.7500
Tl1 Tl 0.5000 0.5000 0.5000
Pt1 Pt 0.2500 0.2500 0.2500